# Rb3SmDy3Te8

A relaxed structure of Rb3SmDy3Te8 (GGA-PBE, Alexandria via LeMat-Bulk).

Lattice parameters (Å, degrees): 10.1928 10.1928 10.1928 51.54 51.54 51.54
Fractional positions:
Rb (0.0000, 0.5000, 0.5000)
Rb (0.5000, 0.0000, 0.5000)
Rb (0.5000, 0.5000, 0.0000)
Sm (0.5000, 0.5000, 0.5000)
Dy (0.0000, 0.0000, 0.5000)
Dy (0.0000, 0.5000, 0.0000)
Dy (0.5000, 0.0000, 0.0000)
Te (0.2264, 0.7374, 0.7374)
Te (0.2332, 0.2332, 0.2332)
Te (0.2626, 0.2626, 0.7736)
Te (0.2626, 0.7736, 0.2626)
Te (0.7374, 0.2264, 0.7374)
Te (0.7374, 0.7374, 0.2264)
Te (0.7668, 0.7668, 0.7668)
Te (0.7736, 0.2626, 0.2626)

Computed properties:
Mass density (Mg/m³): 5.3
Uncorrected formation energy (eV per atom): -1.318
Spin magnetization (μB/atom): 0.00

# RbDySn

A relaxed structure of RbDySn (GGA-PBE, Alexandria via LeMat-Bulk).

Lattice parameters (Å, degrees): 9.1561 5.2814 11.9622 90.00 104.67 90.00
Fractional positions:
Rb (0.1159, 0.0000, 0.3497)
Rb (0.3841, 0.5000, 0.6503)
Rb (0.6159, 0.5000, 0.3497)
Rb (0.8841, 0.0000, 0.6503)
Dy (0.1990, 0.5000, 0.0974)
Dy (0.3010, 0.0000, 0.9026)
Dy (0.6990, 0.0000, 0.0974)
Dy (0.8010, 0.5000, 0.9026)
Sn (0.1105, 0.5000, 0.8310)
Sn (0.3895, 0.0000, 0.1690)
Sn (0.6105, 0.0000, 0.8310)
Sn (0.8895, 0.5000, 0.1690)

Computed properties:
Mass density (Mg/m³): 4.4
ΔH_f (0 K) (eV per formula unit): -0.63
Spin magnetization (μB/atom): 0.00

# Rb2DySnTe4

A relaxed structure of Rb2DySnTe4 (GGA-PBE, Alexandria via LeMat-Bulk).

Lattice parameters (Å, degrees): 7.9421 4.4892 8.9447 90.00 106.57 90.00
Fractional positions:
Rb (0.0000, 0.0000, 0.0000)
Rb (0.5000, 0.5000, 0.0000)
Dy (0.0000, 0.5000, 0.5000)
Sn (0.5000, 0.0000, 0.5000)
Te (0.2312, 0.0000, 0.6973)
Te (0.2653, 0.5000, 0.3037)
Te (0.7347, 0.5000, 0.6963)
Te (0.7688, 0.0000, 0.3027)

Computed properties:
Mass density (Mg/m³): 5.2
Uncorrected formation energy (eV per atom): -0.951
Spin magnetization (μB/atom): 0.00

# RbDy2Sn3Te6

A relaxed structure of RbDy2Sn3Te6 (GGA-PBE, Alexandria via LeMat-Bulk).

Lattice parameters (Å, degrees): 10.0853 10.0853 9.8032 98.75 98.75 25.30
Fractional positions:
Rb (0.0000, 0.0000, 0.0000)
Dy (0.3270, 0.3270, 0.6632)
Dy (0.6730, 0.6730, 0.3368)
Sn (0.0000, 0.0000, 0.5000)
Sn (0.3383, 0.3383, 0.1741)
Sn (0.6617, 0.6617, 0.8259)
Te (0.1655, 0.1655, 0.5657)
Te (0.1856, 0.1856, 0.1180)
Te (0.4811, 0.4811, 0.7167)
Te (0.5189, 0.5189, 0.2833)
Te (0.8144, 0.8144, 0.8820)
Te (0.8345, 0.8345, 0.4343)

Computed properties:
Mass density (Mg/m³): 6.0
Uncorrected formation energy (eV per atom): -0.723
Spin magnetization (μB/atom): 0.00

# Rb3Tb2DyTe6

A relaxed structure of Rb3Tb2DyTe6 (GGA-PBE, Alexandria via LeMat-Bulk).

Lattice parameters (Å, degrees): 7.8572 7.8572 8.9469 98.42 98.42 120.00
Fractional positions:
Rb (0.0000, 0.0000, 0.0000)
Rb (0.3330, 0.6670, 0.0000)
Rb (0.6670, 0.3330, 0.0000)
Tb (0.1666, 0.8334, 0.5000)
Tb (0.8334, 0.1666, 0.5000)
Dy (0.5000, 0.5000, 0.5000)
Te (0.1011, 0.4334, 0.3004)
Te (0.2343, 0.2343, 0.6998)
Te (0.4334, 0.1011, 0.3004)
Te (0.5666, 0.8989, 0.6996)
Te (0.7657, 0.7657, 0.3002)
Te (0.8989, 0.5666, 0.6996)

Computed properties:
Mass density (Mg/m³): 5.5
Uncorrected formation energy (eV per atom): -1.389
Spin magnetization (μB/atom): 0.00

# RbTb3Dy2Te6

A relaxed structure of RbTb3Dy2Te6 (GGA-PBE, Alexandria via LeMat-Bulk).

Lattice parameters (Å, degrees): 9.9818 9.9818 9.1160 103.57 103.57 25.40
Fractional positions:
Rb (0.0000, 0.0000, 0.0000)
Tb (0.0000, 0.0000, 0.5000)
Tb (0.3409, 0.3409, 0.1838)
Tb (0.6591, 0.6591, 0.8162)
Dy (0.3303, 0.3303, 0.6548)
Dy (0.6697, 0.6697, 0.3452)
Te (0.1660, 0.1660, 0.5816)
Te (0.1775, 0.1775, 0.0885)
Te (0.4949, 0.4949, 0.7278)
Te (0.5051, 0.5051, 0.2722)
Te (0.8225, 0.8225, 0.9115)
Te (0.8340, 0.8340, 0.4184)

Computed properties:
Mass density (Mg/m³): 7.3
Uncorrected formation energy (eV per atom): -1.269
Spin magnetization (μB/atom): 0.00